# PtAuN (PBE-GGA, relaxed)
data_PtAuN
_chemical_formula_sum 'Pt2 Au2 N2'
_cell_length_a 3.020
_cell_length_b 3.022
_cell_length_c 11.753
_cell_angle_alpha 90.01
_cell_angle_beta 90.14
_cell_angle_gamma 119.99
_space_group_name_H-M_alt 'P -1'
_space_group_IT_number 2
_space_group_name_Hall '-P 1'
loop_
_atom_site_label
_atom_site_type_symbol
_atom_site_fract_x
_atom_site_fract_y
_atom_site_fract_z
Pt1 Pt 0.004 0.000 0.302
Au1 Au 0.332 0.666 0.901
N1 N 0.328 0.666 0.613
# DFT total energy	-31.19	eV per cell
# energy relative to the elements, uncorrected	0.683	eV/atom

=====

# PtAuN2 (PBE-GGA, relaxed)
data_PtAuN2
_chemical_formula_sum 'Pt4 Au4 N8'
_cell_length_a 4.407
_cell_length_b 4.407
_cell_length_c 11.522
_cell_angle_alpha 90.00
_cell_angle_beta 90.00
_cell_angle_gamma 90.00
_space_group_name_H-M_alt 'I -4 2 d'
_space_group_IT_number 122
_space_group_name_Hall 'I -4 2bw'
loop_
_atom_site_label
_atom_site_type_symbol
_atom_site_fract_x
_atom_site_fract_y
_atom_site_fract_z
Pt1 Pt 0.000 0.000 0.000
Au1 Au 0.000 0.000 0.500
N1 N 0.214 0.250 0.125
# DFT total energy	-82.58	eV per cell
# E above lowest polymorph	0.547	eV/atom
# energy relative to the elements, uncorrected	1.331	eV/atom

=====

# PtAuN2 (PBE-GGA, relaxed)
data_PtAuN2
_chemical_formula_sum 'Pt4 Au4 N8'
_cell_length_a 5.729
_cell_length_b 5.729
_cell_length_c 5.729
_cell_angle_alpha 90.00
_cell_angle_beta 90.00
_cell_angle_gamma 90.00
_space_group_name_H-M_alt 'F m -3 m'
_space_group_IT_number 225
_space_group_name_Hall '-F 4 2 3'
loop_
_atom_site_label
_atom_site_type_symbol
_atom_site_fract_x
_atom_site_fract_y
_atom_site_fract_z
Pt1 Pt 0.000 0.000 0.000
Au1 Au 0.000 0.000 0.500
N1 N 0.250 0.250 0.250
# DFT total energy	-73.15	eV per cell
# E above lowest polymorph	1.136	eV/atom
# energy relative to the elements, uncorrected	1.920	eV/atom

=====

# Pt3AuN (PBE-GGA, relaxed)
data_Pt3AuN
_chemical_formula_sum 'Pt3 Au1 N1'
_cell_length_a 4.953
_cell_length_b 4.953
_cell_length_c 4.953
_cell_angle_alpha 90.00
_cell_angle_beta 90.00
_cell_angle_gamma 90.00
_space_group_name_H-M_alt 'P m -3 m'
_space_group_IT_number 221
_space_group_name_Hall '-P 4 2 3'
loop_
_atom_site_label
_atom_site_type_symbol
_atom_site_fract_x
_atom_site_fract_y
_atom_site_fract_z
Pt1 Pt 0.000 0.000 0.500
Au1 Au 0.000 0.000 0.000
N1 N 0.500 0.500 0.500
# DFT total energy	-15.94	eV per cell
# E above lowest polymorph	2.258	eV/atom
# energy relative to the elements, uncorrected	2.757	eV/atom

=====

# Pt3AuN (PBE-GGA, relaxed)
data_Pt3AuN
_chemical_formula_sum 'Pt3 Au1 N1'
_cell_length_a 4.212
_cell_length_b 4.212
_cell_length_c 4.212
_cell_angle_alpha 90.00
_cell_angle_beta 90.00
_cell_angle_gamma 90.00
_space_group_name_H-M_alt 'P m -3 m'
_space_group_IT_number 221
_space_group_name_Hall '-P 4 2 3'
loop_
_atom_site_label
_atom_site_type_symbol
_atom_site_fract_x
_atom_site_fract_y
_atom_site_fract_z
Pt1 Pt 0.000 0.000 0.500
Au1 Au 0.500 0.500 0.500
N1 N 0.000 0.000 0.000
# DFT total energy	-27.23	eV per cell
# E above lowest polymorph	0.000	eV/atom
# energy relative to the elements, uncorrected	0.498	eV/atom

=====

# PtAuN2 (PBE-GGA, relaxed)
data_PtAuN2
_chemical_formula_sum 'Pt3 Au3 N6'
_cell_length_a 3.1551
_cell_length_b 3.1551
_cell_length_c 18.3567
_cell_angle_alpha 90.00
_cell_angle_beta 90.00
_cell_angle_gamma 120.00
_space_group_name_H-M_alt 'R -3 m'
_space_group_IT_number 166
_space_group_name_Hall '-R 3 2"'
loop_
_atom_site_label
_atom_site_type_symbol
_atom_site_fract_x
_atom_site_fract_y
_atom_site_fract_z
Pt1 Pt 0.0000 0.0000 0.0000
Au1 Au 0.0000 0.0000 0.5000
N1 N 0.0000 0.0000 0.3885
# DFT total energy	-68.50	eV per cell
# E above lowest polymorph	0.000	eV/atom
# energy relative to the elements, uncorrected	0.784	eV/atom

=====

# PtAu3N (PBE-GGA, relaxed)
data_PtAu3N
_chemical_formula_sum 'Pt1 Au3 N1'
_cell_length_a 5.062
_cell_length_b 5.062
_cell_length_c 5.062
_cell_angle_alpha 90.00
_cell_angle_beta 90.00
_cell_angle_gamma 90.00
_space_group_name_H-M_alt 'P m -3 m'
_space_group_IT_number 221
_space_group_name_Hall '-P 4 2 3'
loop_
_atom_site_label
_atom_site_type_symbol
_atom_site_fract_x
_atom_site_fract_y
_atom_site_fract_z
Pt1 Pt 0.000 0.000 0.000
Au1 Au 0.000 0.000 0.500
N1 N 0.500 0.500 0.500
# DFT total energy	-13.52	eV per cell
# E above lowest polymorph	1.340	eV/atom
# energy relative to the elements, uncorrected	2.135	eV/atom

=====

# PtAuN2 (PBE-GGA, relaxed)
data_PtAuN2
_chemical_formula_sum 'Pt3 Au3 N6'
_cell_length_a 3.1537
_cell_length_b 3.1537
_cell_length_c 18.3670
_cell_angle_alpha 90.00
_cell_angle_beta 90.00
_cell_angle_gamma 120.00
_space_group_name_H-M_alt 'R -3 m'
_space_group_IT_number 166
_space_group_name_Hall '-R 3 2"'
loop_
_atom_site_label
_atom_site_type_symbol
_atom_site_fract_x
_atom_site_fract_y
_atom_site_fract_z
Pt1 Pt 0.0000 0.0000 0.0000
Au1 Au 0.0000 0.0000 0.5000
N1 N 0.0000 0.0000 0.1073
# DFT total energy	-64.50	eV per cell
# E above lowest polymorph	0.333	eV/atom
# energy relative to the elements, uncorrected	1.117	eV/atom

=====

# PtAu3N (PBE-GGA, relaxed)
data_PtAu3N
_chemical_formula_sum 'Pt1 Au3 N1'
_cell_length_a 4.322
_cell_length_b 4.322
_cell_length_c 4.322
_cell_angle_alpha 90.00
_cell_angle_beta 90.00
_cell_angle_gamma 90.00
_space_group_name_H-M_alt 'P m -3 m'
_space_group_IT_number 221
_space_group_name_Hall '-P 4 2 3'
loop_
_atom_site_label
_atom_site_type_symbol
_atom_site_fract_x
_atom_site_fract_y
_atom_site_fract_z
Pt1 Pt 0.000 0.000 0.000
Au1 Au 0.000 0.500 0.500
N1 N 0.500 0.500 0.500
# DFT total energy	-20.23	eV per cell
# E above lowest polymorph	0.000	eV/atom
# energy relative to the elements, uncorrected	0.795	eV/atom

=====

# Rb2PtAuN (PBE-GGA, relaxed)
data_Rb2PtAuN
_chemical_formula_sum 'Rb2 Pt1 Au1 N1'
_cell_length_a 6.304
_cell_length_b 6.304
_cell_length_c 3.723
_cell_angle_alpha 90.00
_cell_angle_beta 90.00
_cell_angle_gamma 90.00
_space_group_name_H-M_alt 'P 4/m m m'
_space_group_IT_number 123
_space_group_name_Hall '-P 4 2'
loop_
_atom_site_label
_atom_site_type_symbol
_atom_site_fract_x
_atom_site_fract_y
_atom_site_fract_z
Rb1 Rb 0.000 0.500 0.000
Pt1 Pt 0.000 0.000 0.500
Au1 Au 0.500 0.500 0.500
N1 N 0.000 0.000 0.000
# DFT total energy	-20.35	eV per cell
# E above lowest polymorph	0.000	eV/atom
# energy relative to the elements, uncorrected	-0.155	eV/atom

=====

# Rb2PtAuN (PBE-GGA, relaxed)
data_Rb2PtAuN
_chemical_formula_sum 'Rb2 Pt1 Au1 N1'
_cell_length_a 6.616
_cell_length_b 6.616
_cell_length_c 3.711
_cell_angle_alpha 90.00
_cell_angle_beta 90.00
_cell_angle_gamma 90.00
_space_group_name_H-M_alt 'P 4/m m m'
_space_group_IT_number 123
_space_group_name_Hall '-P 4 2'
loop_
_atom_site_label
_atom_site_type_symbol
_atom_site_fract_x
_atom_site_fract_y
_atom_site_fract_z
Rb1 Rb 0.000 0.500 0.000
Pt1 Pt 0.000 0.000 0.000
Au1 Au 0.500 0.500 0.500
N1 N 0.000 0.000 0.500
# DFT total energy	-19.95	eV per cell
# E above lowest polymorph	0.080	eV/atom
# energy relative to the elements, uncorrected	-0.075	eV/atom

=====

# PtAuS2N (PBE-GGA, relaxed)
data_PtAuS2N
_chemical_formula_sum 'Pt1 Au1 S2 N1'
_cell_length_a 4.986
_cell_length_b 4.986
_cell_length_c 3.646
_cell_angle_alpha 90.00
_cell_angle_beta 90.00
_cell_angle_gamma 90.00
_space_group_name_H-M_alt 'P 4/m m m'
_space_group_IT_number 123
_space_group_name_Hall '-P 4 2'
loop_
_atom_site_label
_atom_site_type_symbol
_atom_site_fract_x
_atom_site_fract_y
_atom_site_fract_z
Pt1 Pt 0.000 0.000 0.000
Au1 Au 0.500 0.500 0.500
S1 S 0.000 0.500 0.000
N1 N 0.000 0.000 0.500
# DFT total energy	-21.43	eV per cell
# E above lowest polymorph	0.000	eV/atom
# energy relative to the elements, uncorrected	0.893	eV/atom

=====

# PtAuSN2 (PBE-GGA, relaxed)
data_PtAuSN2
_chemical_formula_sum 'Pt1 Au1 S1 N2'
_cell_length_a 3.694
_cell_length_b 3.694
_cell_length_c 8.054
_cell_angle_alpha 90.00
_cell_angle_beta 90.00
_cell_angle_gamma 90.00
_space_group_name_H-M_alt 'P 4/m m m'
_space_group_IT_number 123
_space_group_name_Hall '-P 4 2'
loop_
_atom_site_label
_atom_site_type_symbol
_atom_site_fract_x
_atom_site_fract_y
_atom_site_fract_z
Pt1 Pt 0.000 0.000 0.000
Au1 Au 0.500 0.500 0.500
S1 S 0.000 0.000 0.500
N1 N 0.000 0.500 0.000
# DFT total energy	-24.20	eV per cell
# E above lowest polymorph	0.000	eV/atom
# energy relative to the elements, uncorrected	1.179	eV/atom

=====

# PtAuS2N (PBE-GGA, relaxed)
data_PtAuS2N
_chemical_formula_sum 'Pt1 Au1 S2 N1'
_cell_length_a 4.986
_cell_length_b 4.986
_cell_length_c 3.694
_cell_angle_alpha 90.00
_cell_angle_beta 90.00
_cell_angle_gamma 90.00
_space_group_name_H-M_alt 'P 4/m m m'
_space_group_IT_number 123
_space_group_name_Hall '-P 4 2'
loop_
_atom_site_label
_atom_site_type_symbol
_atom_site_fract_x
_atom_site_fract_y
_atom_site_fract_z
Pt1 Pt 0.000 0.000 0.000
Au1 Au 0.500 0.500 0.500
S1 S 0.000 0.500 0.500
N1 N 0.500 0.500 0.000
# DFT total energy	-18.14	eV per cell
# E above lowest polymorph	0.659	eV/atom
# energy relative to the elements, uncorrected	1.552	eV/atom

=====

# PtAuSN2 (PBE-GGA, relaxed)
data_PtAuSN2
_chemical_formula_sum 'Pt1 Au1 S1 N2'
_cell_length_a 3.772
_cell_length_b 3.772
_cell_length_c 7.604
_cell_angle_alpha 90.00
_cell_angle_beta 90.00
_cell_angle_gamma 90.00
_space_group_name_H-M_alt 'P 4/m m m'
_space_group_IT_number 123
_space_group_name_Hall '-P 4 2'
loop_
_atom_site_label
_atom_site_type_symbol
_atom_site_fract_x
_atom_site_fract_y
_atom_site_fract_z
Pt1 Pt 0.000 0.000 0.000
Au1 Au 0.500 0.500 0.500
S1 S 0.500 0.500 0.000
N1 N 0.000 0.500 0.500
# DFT total energy	-20.36	eV per cell
# E above lowest polymorph	0.769	eV/atom
# energy relative to the elements, uncorrected	1.947	eV/atom

=====

# ScPt2AuN (PBE-GGA, relaxed)
data_ScPt2AuN
_chemical_formula_sum 'Sc1 Pt2 Au1 N1'
_cell_length_a 4.274
_cell_length_b 4.274
_cell_length_c 4.199
_cell_angle_alpha 90.00
_cell_angle_beta 90.00
_cell_angle_gamma 90.00
_space_group_name_H-M_alt 'P 4/m m m'
_space_group_IT_number 123
_space_group_name_Hall '-P 4 2'
loop_
_atom_site_label
_atom_site_type_symbol
_atom_site_fract_x
_atom_site_fract_y
_atom_site_fract_z
Sc1 Sc 0.000 0.000 0.000
Pt1 Pt 0.000 0.500 0.500
Au1 Au 0.500 0.500 0.000
N1 N 0.000 0.000 0.500
# DFT total energy	-31.89	eV per cell
# energy relative to the elements, uncorrected	-0.374	eV/atom

=====

# PtAuSe2N (PBE-GGA, relaxed)
data_PtAuSe2N
_chemical_formula_sum 'Pt1 Au1 Se2 N1'
_cell_length_a 5.241
_cell_length_b 5.241
_cell_length_c 3.684
_cell_angle_alpha 90.00
_cell_angle_beta 90.00
_cell_angle_gamma 90.00
_space_group_name_H-M_alt 'P 4/m m m'
_space_group_IT_number 123
_space_group_name_Hall '-P 4 2'
loop_
_atom_site_label
_atom_site_type_symbol
_atom_site_fract_x
_atom_site_fract_y
_atom_site_fract_z
Pt1 Pt 0.000 0.000 0.000
Au1 Au 0.500 0.500 0.500
Se1 Se 0.000 0.500 0.500
N1 N 0.500 0.500 0.000
# DFT total energy	-17.83	eV per cell
# E above lowest polymorph	0.630	eV/atom
# energy relative to the elements, uncorrected	1.356	eV/atom

=====

# PtAuSe2N (PBE-GGA, relaxed)
data_PtAuSe2N
_chemical_formula_sum 'Pt1 Au1 Se2 N1'
_cell_length_a 5.253
_cell_length_b 5.253
_cell_length_c 3.641
_cell_angle_alpha 90.00
_cell_angle_beta 90.00
_cell_angle_gamma 90.00
_space_group_name_H-M_alt 'P 4/m m m'
_space_group_IT_number 123
_space_group_name_Hall '-P 4 2'
loop_
_atom_site_label
_atom_site_type_symbol
_atom_site_fract_x
_atom_site_fract_y
_atom_site_fract_z
Pt1 Pt 0.000 0.000 0.000
Au1 Au 0.500 0.500 0.500
Se1 Se 0.000 0.500 0.000
N1 N 0.000 0.000 0.500
# DFT total energy	-20.98	eV per cell
# E above lowest polymorph	0.000	eV/atom
# energy relative to the elements, uncorrected	0.726	eV/atom

=====

# Sr8PtAu2N (PBE-GGA, relaxed)
data_Sr8PtAu2N
_chemical_formula_sum 'Sr8 Pt1 Au2 N1'
_cell_length_a 7.049
_cell_length_b 8.647
_cell_length_c 7.254
_cell_angle_alpha 90.00
_cell_angle_beta 90.69
_cell_angle_gamma 90.00
_space_group_name_H-M_alt 'P 1 2/m 1'
_space_group_IT_number 10
_space_group_name_Hall '-P 2y'
loop_
_atom_site_label
_atom_site_type_symbol
_atom_site_fract_x
_atom_site_fract_y
_atom_site_fract_z
Sr1 Sr 0.212 0.228 0.161
Sr2 Sr 0.228 0.000 0.718
Sr3 Sr 0.268 0.500 0.674
Pt1 Pt 0.000 0.500 0.000
Au1 Au 0.500 0.224 0.500
N1 N 0.000 0.000 0.000
# DFT total energy	-41.00	eV per cell
# energy relative to the elements, uncorrected	-0.552	eV/atom

=====

# Sr2PtAuN (PBE-GGA, relaxed)
data_Sr2PtAuN
_chemical_formula_sum 'Sr2 Pt1 Au1 N1'
_cell_length_a 5.871
_cell_length_b 5.871
_cell_length_c 4.948
_cell_angle_alpha 90.00
_cell_angle_beta 90.00
_cell_angle_gamma 90.00
_space_group_name_H-M_alt 'P 4/m m m'
_space_group_IT_number 123
_space_group_name_Hall '-P 4 2'
loop_
_atom_site_label
_atom_site_type_symbol
_atom_site_fract_x
_atom_site_fract_y
_atom_site_fract_z
Sr1 Sr 0.000 0.500 0.000
Pt1 Pt 0.000 0.000 0.500
Au1 Au 0.000 0.000 0.000
N1 N 0.500 0.500 0.500
# DFT total energy	-17.89	eV per cell
# E above lowest polymorph	1.328	eV/atom
# energy relative to the elements, uncorrected	0.623	eV/atom